1.
Computed, not measured: a relaxed NaSn2SbBr8 crystal at the PBE level of DFT.

## Properties
- total DFT energy (no corrections) (eV per atom) = -3.06

POSCAR file:
```
NaSn2SbBr8
1.0
6.837 0.000 0.000
0.000 8.695 0.000
-0.171 0.000 7.174
Na Sn Sb Br
1 2 1 8
Direct
0.000 0.000 0.000
0.500 0.247 0.500
0.500 0.753 0.500
0.000 0.500 0.000
0.233 0.261 0.158
0.233 0.739 0.158
0.239 0.500 0.681
0.275 0.000 0.656
0.725 0.000 0.344
0.761 0.500 0.319
0.767 0.261 0.842
0.767 0.739 0.842
```

2.
Computed, not measured: a relaxed La4Pm2Tm crystal at the PBE level of DFT.

## Properties
- energy of formation from the pure elements (meV/atom) = 65
- energy above the lowest structure with this stoichiometry (eV per atom) = 0.000

POSCAR file:
```
La4Pm2Tm
1.0
6.620 0.000 0.000
2.930 8.390 0.000
1.086 -0.214 8.884
La Pm Tm
8 4 2
Direct
0.000 0.000 0.000
0.043 0.246 0.251
0.197 0.457 0.553
0.242 0.999 0.587
0.374 0.651 0.844
0.539 0.936 0.187
0.662 0.598 0.450
0.779 0.836 0.724
0.073 0.790 0.337
0.390 0.218 0.877
0.498 0.406 0.170
0.848 0.340 0.795
0.677 0.162 0.495
0.936 0.585 0.050
```

3.
Computed, not measured: a relaxed Sc2ZnPb crystal at the PBE level of DFT.

## Properties
- energy of formation from the pure elements (meV/atom) = -275

POSCAR file:
```
Sc2ZnPb
1.0
-2.095 2.095 5.040
2.095 -2.095 5.040
2.095 2.095 -5.040
Sc Zn Pb
2 1 1
Direct
0.000 0.000 0.000
0.750 0.250 0.500
0.250 0.750 0.500
0.500 0.500 0.000
```

4.
Computed, not measured: a relaxed Tb3Nd2Y6In crystal at the PBE level of DFT.

## Properties
- energy of formation from the pure elements (meV/atom) = -57

POSCAR file:
```
Tb3Nd2Y6In
1.0
3.068 -5.317 0.000
3.068 5.317 0.000
-2.052 0.000 11.589
Tb Nd Y In
3 2 6 1
Direct
0.000 0.000 0.000
0.333 0.667 0.000
0.667 0.333 0.000
0.166 0.834 0.500
0.834 0.166 0.500
0.091 0.418 0.252
0.256 0.256 0.749
0.418 0.091 0.252
0.582 0.909 0.748
0.744 0.744 0.251
0.909 0.582 0.748
0.500 0.500 0.500
```

5.
Computed, not measured: a relaxed TaTiGe3 crystal at the PBE level of DFT.

## Properties
- energy of formation from the pure elements (meV/atom) = 957

POSCAR file:
```
TaTiGe3
1.0
4.731 0.000 0.000
0.000 4.731 0.000
0.000 0.000 4.731
Ta Ti Ge
1 1 3
Direct
0.000 0.000 0.000
0.500 0.500 0.500
0.000 0.500 0.500
0.500 0.000 0.500
0.500 0.500 0.000
```

6.
Computed, not measured: a relaxed YTa2P crystal at the PBE level of DFT.

## Properties
- energy of formation from the pure elements (meV/atom) = -9

POSCAR file:
```
YTa2P
1.0
4.449 0.000 0.000
0.000 3.521 0.000
-1.102 0.000 4.879
Y Ta P
1 2 1
Direct
0.000 0.000 0.000
0.000 0.500 0.500
0.500 0.000 0.500
0.500 0.500 0.000
```

7.
Computed, not measured: a relaxed CsKPtO3 crystal at the PBE level of DFT.

## Properties
- total DFT energy (no corrections) (eV per atom) = -4.69

POSCAR file:
```
CsKPtO3
1.0
3.144 -5.924 0.000
3.144 5.924 0.000
0.000 0.000 6.268
Cs K Pt O
2 2 2 6
Direct
0.223 0.777 0.750
0.777 0.223 0.250
0.095 0.905 0.250
0.905 0.095 0.750
0.480 0.520 0.250
0.520 0.480 0.750
0.296 0.296 0.000
0.296 0.296 0.500
0.311 0.689 0.250
0.689 0.311 0.750
0.704 0.704 0.000
0.704 0.704 0.500
```

8.
Computed, not measured: a relaxed CsSnRh2 crystal at the PBE level of DFT.

## Properties
- energy of formation from the pure elements (meV/atom) = 534

POSCAR file:
```
CsSnRh2
1.0
-3.884 3.884 3.508
3.884 -3.884 3.508
3.884 3.884 -3.508
Cs Sn Rh
2 2 4
Direct
0.000 0.000 0.000
0.750 0.250 0.500
0.250 0.750 0.500
0.500 0.500 0.000
0.194 0.625 0.069
0.375 0.444 0.569
0.556 0.125 0.931
0.875 0.806 0.431
```

9.
Computed, not measured: a relaxed CaAcRh crystal at the PBE level of DFT.

## Properties
- energy of formation from the pure elements (meV/atom) = -432
- energy above the lowest structure with this stoichiometry (eV per atom) = 0.046

POSCAR file:
```
CaAcRh
1.0
3.686 -2.125 0.000
3.686 2.125 0.000
-2.433 0.000 13.055
Ca Ac Rh
2 2 2
Direct
0.122 0.122 0.372
0.878 0.878 0.628
0.289 0.289 0.864
0.711 0.711 0.136
0.416 0.416 0.251
0.584 0.584 0.749
```

10.
Computed, not measured: a relaxed Cs3Pa2IO9 crystal at the PBE level of DFT.

## Properties
- total DFT energy (no corrections) (eV per atom) = -6.75

POSCAR file:
```
Cs3Pa2IO9
1.0
6.236 0.000 0.000
-3.118 5.401 0.000
0.000 0.000 7.644
Cs Pa I O
3 2 1 9
Direct
0.000 0.000 0.000
0.333 0.667 0.664
0.667 0.333 0.336
0.333 0.667 0.170
0.667 0.333 0.830
0.000 0.000 0.500
0.000 0.500 0.000
0.165 0.330 0.336
0.165 0.835 0.336
0.330 0.165 0.664
0.500 0.000 0.000
0.500 0.500 0.000
0.670 0.835 0.336
0.835 0.165 0.664
0.835 0.670 0.664
```

11.
Computed, not measured: a relaxed Tb2SbO6 crystal at the PBE level of DFT.

## Properties
- total DFT energy (no corrections) (eV per atom) = -7.25

POSCAR file:
```
Tb2SbO6
1.0
5.061 0.000 0.000
0.000 5.061 0.000
0.000 0.000 10.246
Tb Sb O
4 2 12
Direct
0.000 0.000 0.168
0.000 0.000 0.832
0.500 0.500 0.332
0.500 0.500 0.668
0.000 0.000 0.500
0.500 0.500 0.000
0.185 0.185 0.353
0.185 0.185 0.647
0.218 0.218 0.000
0.282 0.718 0.500
0.315 0.685 0.147
0.315 0.685 0.853
0.685 0.315 0.147
0.685 0.315 0.853
0.718 0.282 0.500
0.782 0.782 0.000
0.815 0.815 0.353
0.815 0.815 0.647
```

12.
Computed, not measured: a relaxed AlMo2Se crystal at the PBE level of DFT.

## Properties
- energy above the lowest structure with this stoichiometry (eV per atom) = 0.132

POSCAR file:
```
AlMo2Se
1.0
1.543 0.891 8.183
-1.543 0.891 8.183
0.000 -1.782 8.183
Al Mo Se
1 2 1
Direct
0.000 0.000 0.000
0.251 0.251 0.251
0.502 0.502 0.502
0.759 0.759 0.759
```